1.
Crystalline Cs5TlCl8 at its relaxed geometry. Source: the Alexandria database, functional GGA-PBE.

a b c (Å): 9.137 9.137 9.137
angles (deg): 112.27 112.27 104.01
Positions (direct):
Cs 0.000 0.000 0.000
Cs 0.103 0.244 0.587
Cs 0.484 0.897 0.141
Cs 0.656 0.516 0.413
Cs 0.756 0.344 0.859
Tl 0.250 0.750 0.500
Cl 0.026 0.616 0.786
Cl 0.263 0.578 0.219
Cl 0.359 0.044 0.781
Cl 0.384 0.171 0.410
Cl 0.422 0.641 0.685
Cl 0.760 0.974 0.590
Cl 0.829 0.240 0.214
Cl 0.956 0.737 0.315

Values from the calculation:
size of the total moment = 0.5 μB per cell
energy relative to the elements, uncorrected = -1566 meV per atom

2.
Crystalline Cs2TmTlCl6 at its relaxed geometry. Source: the Alexandria database, functional GGA-PBE.

a b c (Å): 7.911 8.148 13.813
angles (deg): 90.00 124.91 90.00
Positions (direct):
Cs 0.235 0.054 0.249
Cs 0.235 0.446 0.749
Cs 0.765 0.554 0.251
Cs 0.765 0.946 0.751
Tm 0.000 0.000 0.500
Tm 0.000 0.500 0.000
Tl 0.500 0.000 0.000
Tl 0.500 0.500 0.500
Cl 0.139 0.234 0.960
Cl 0.139 0.266 0.460
Cl 0.231 0.682 0.963
Cl 0.231 0.818 0.463
Cl 0.299 0.018 0.725
Cl 0.299 0.482 0.225
Cl 0.701 0.518 0.775
Cl 0.701 0.982 0.275
Cl 0.769 0.182 0.537
Cl 0.769 0.318 0.037
Cl 0.861 0.734 0.540
Cl 0.861 0.766 0.040

Values from the calculation:
size of the total moment = 0.0 μB per cell
energy relative to the elements, uncorrected = -1979 meV per atom

3.
Crystalline Cs2UTlCl6 at its relaxed geometry. Source: the Alexandria database, functional GGA-PBE.

a b c (Å): 7.990 11.650 8.724
angles (deg): 90.00 90.00 90.00
Positions (direct):
Cs 0.250 0.030 0.198
Cs 0.250 0.470 0.198
Cs 0.750 0.530 0.802
Cs 0.750 0.970 0.802
U 0.250 0.750 0.784
U 0.750 0.250 0.216
Tl 0.250 0.250 0.711
Tl 0.750 0.750 0.289
Cl 0.009 0.250 0.422
Cl 0.013 0.750 0.014
Cl 0.250 0.514 0.792
Cl 0.250 0.986 0.792
Cl 0.487 0.750 0.014
Cl 0.491 0.250 0.422
Cl 0.509 0.750 0.578
Cl 0.513 0.250 0.986
Cl 0.750 0.014 0.208
Cl 0.750 0.486 0.208
Cl 0.987 0.250 0.986
Cl 0.991 0.750 0.578

Values from the calculation:
size of the total moment = 6.0 μB per cell
energy relative to the elements, uncorrected = -1698 meV per atom

4.
Crystalline CsUTlCl6 at its relaxed geometry. Source: the Alexandria database, functional GGA-PBE.

a b c (Å): 8.216 8.216 11.898
angles (deg): 90.00 90.00 120.00
Positions (direct):
Cs 0.333 0.667 0.250
Cs 0.667 0.333 0.750
U 0.333 0.667 0.750
U 0.667 0.333 0.250
Tl 0.000 0.000 0.000
Tl 0.000 0.000 0.500
Cl 0.079 0.397 0.622
Cl 0.079 0.682 0.878
Cl 0.318 0.397 0.878
Cl 0.318 0.921 0.622
Cl 0.397 0.079 0.122
Cl 0.397 0.318 0.378
Cl 0.603 0.682 0.622
Cl 0.603 0.921 0.878
Cl 0.682 0.079 0.378
Cl 0.682 0.603 0.122
Cl 0.921 0.318 0.122
Cl 0.921 0.603 0.378

Values from the calculation:
size of the total moment = 4.0 μB per cell
energy relative to the elements, uncorrected = -1676 meV per atom

5.
Crystalline Cs2UTlCl8 at its relaxed geometry. Source: the Alexandria database, functional GGA-PBE.

a b c (Å): 7.235 10.295 7.544
angles (deg): 90.00 93.08 90.00
Positions (direct):
Cs 0.000 0.239 0.000
Cs 0.000 0.761 0.000
U 0.500 0.500 0.500
Tl 0.500 0.000 0.500
Cl 0.199 0.000 0.221
Cl 0.205 0.500 0.300
Cl 0.367 0.324 0.691
Cl 0.367 0.676 0.691
Cl 0.633 0.324 0.309
Cl 0.633 0.676 0.309
Cl 0.795 0.500 0.700
Cl 0.801 0.000 0.779

Values from the calculation:
size of the total moment = 1.0 μB per cell
energy relative to the elements, uncorrected = -1645 meV per atom

6.
Crystalline CsUTl2Cl6 at its relaxed geometry. Source: the Alexandria database, functional GGA-PBE.

a b c (Å): 8.388 8.388 8.388
angles (deg): 57.43 57.43 57.43
Positions (direct):
Cs 0.000 0.000 0.000
U 0.486 0.486 0.486
Tl 0.281 0.281 0.281
Tl 0.793 0.793 0.793
Cl 0.128 0.653 0.419
Cl 0.246 0.583 0.831
Cl 0.419 0.128 0.653
Cl 0.583 0.831 0.246
Cl 0.653 0.419 0.128
Cl 0.831 0.246 0.583

Values from the calculation:
size of the total moment = 3.0 μB per cell
energy relative to the elements, uncorrected = -1500 meV per atom

7.
Crystalline CsUTl2Cl8 at its relaxed geometry. Source: the Alexandria database, functional GGA-PBE.

a b c (Å): 6.251 7.798 10.041
angles (deg): 90.13 90.28 105.05
Positions (direct):
Cs 0.000 0.000 0.000
U 0.000 0.000 0.500
Tl 0.497 0.500 0.780
Tl 0.503 0.500 0.220
Cl 0.077 0.795 0.318
Cl 0.082 0.798 0.682
Cl 0.392 0.191 0.500
Cl 0.450 0.731 0.001
Cl 0.550 0.269 0.999
Cl 0.608 0.809 0.500
Cl 0.918 0.202 0.318
Cl 0.923 0.205 0.682

Values from the calculation:
size of the total moment = 1.0 μB per cell
energy relative to the elements, uncorrected = -1507 meV per atom

8.
Crystalline CsTlVCl6 at its relaxed geometry. Source: the Alexandria database, functional GGA-PBE.

a b c (Å): 7.393 7.393 7.023
angles (deg): 90.00 90.00 120.00
Positions (direct):
Cs 0.000 0.000 0.000
Tl 0.667 0.333 0.500
V 0.333 0.667 0.500
Cl 0.075 0.409 0.307
Cl 0.075 0.666 0.693
Cl 0.334 0.409 0.693
Cl 0.334 0.925 0.307
Cl 0.591 0.666 0.307
Cl 0.591 0.925 0.693

Values from the calculation:
size of the total moment = 1.0 μB per cell
energy relative to the elements, uncorrected = -1313 meV per atom

9.
Crystalline Cs3TlV2Cl9 at its relaxed geometry. Source: the Alexandria database, functional GGA-PBE.

a b c (Å): 7.416 7.416 9.562
angles (deg): 90.00 90.00 120.00
Positions (direct):
Cs 0.000 0.000 0.000
Cs 0.333 0.667 0.678
Cs 0.667 0.333 0.322
Tl 0.000 0.000 0.500
V 0.333 0.667 0.148
V 0.667 0.333 0.852
Cl 0.000 0.500 0.000
Cl 0.182 0.363 0.293
Cl 0.182 0.818 0.293
Cl 0.363 0.182 0.707
Cl 0.500 0.000 0.000
Cl 0.500 0.500 0.000
Cl 0.637 0.818 0.293
Cl 0.818 0.182 0.707
Cl 0.818 0.637 0.707

Values from the calculation:
size of the total moment = 5.0 μB per cell
energy relative to the elements, uncorrected = -1504 meV per atom

10.
Crystalline CsTl2VCl8 at its relaxed geometry. Source: the Alexandria database, functional GGA-PBE.

a b c (Å): 6.120 7.378 9.496
angles (deg): 89.88 89.95 66.94
Positions (direct):
Cs 0.000 0.000 0.000
Tl 0.498 0.499 0.240
Tl 0.502 0.501 0.760
V 0.000 0.000 0.500
Cl 0.040 0.207 0.329
Cl 0.043 0.206 0.670
Cl 0.387 0.302 0.999
Cl 0.398 0.821 0.499
Cl 0.602 0.179 0.501
Cl 0.613 0.698 0.001
Cl 0.957 0.794 0.330
Cl 0.960 0.793 0.671

Values from the calculation:
size of the total moment = 0.1 μB per cell
energy relative to the elements, uncorrected = -1152 meV per atom

11.
Crystalline Cs2TlVCl6 at its relaxed geometry. Source: the Alexandria database, functional GGA-PBE.

a b c (Å): 7.748 7.748 7.748
angles (deg): 60.00 60.00 60.00
Positions (direct):
Cs 0.250 0.250 0.250
Cs 0.750 0.750 0.750
Tl 0.000 0.000 0.000
V 0.500 0.500 0.500
Cl 0.281 0.281 0.719
Cl 0.281 0.719 0.281
Cl 0.281 0.719 0.719
Cl 0.719 0.281 0.281
Cl 0.719 0.281 0.719
Cl 0.719 0.719 0.281

Values from the calculation:
size of the total moment = 2.0 μB per cell
energy relative to the elements, uncorrected = -1521 meV per atom

12.
Crystalline CsTlV2Cl8 at its relaxed geometry. Source: the Alexandria database, functional GGA-PBE.

a b c (Å): 10.715 10.715 10.715
angles (deg): 37.96 37.96 37.96
Positions (direct):
Cs 0.000 0.000 0.000
Tl 0.500 0.500 0.500
V 0.255 0.255 0.255
V 0.745 0.745 0.745
Cl 0.048 0.444 0.816
Cl 0.184 0.952 0.556
Cl 0.329 0.329 0.329
Cl 0.444 0.816 0.048
Cl 0.556 0.184 0.952
Cl 0.671 0.671 0.671
Cl 0.816 0.048 0.444
Cl 0.952 0.556 0.184

Values from the calculation:
size of the total moment = 4.0 μB per cell
energy relative to the elements, uncorrected = -1316 meV per atom

13.
Crystalline Cs2Tl2VCl6 at its relaxed geometry. Source: the Alexandria database, functional GGA-PBE.

a b c (Å): 8.012 8.012 7.410
angles (deg): 99.33 99.33 115.87
Positions (direct):
Cs 0.157 0.843 0.000
Cs 0.843 0.157 0.000
Tl 0.336 0.664 0.500
Tl 0.664 0.336 0.500
V 0.500 0.500 0.000
Cl 0.185 0.444 0.798
Cl 0.331 0.331 0.231
Cl 0.444 0.185 0.798
Cl 0.556 0.815 0.202
Cl 0.669 0.669 0.769
Cl 0.815 0.556 0.202

Values from the calculation:
size of the total moment = 3.0 μB per cell
energy relative to the elements, uncorrected = -1361 meV per atom

14.
Crystalline Cs2TlV2Cl7 at its relaxed geometry. Source: the Alexandria database, functional GGA-PBE.

a b c (Å): 5.049 5.049 13.956
angles (deg): 100.38 100.38 90.00
Positions (direct):
Cs 0.181 0.181 0.363
Cs 0.819 0.819 0.637
Tl 0.000 0.000 0.000
V 0.406 0.406 0.812
V 0.594 0.594 0.188
Cl 0.089 0.589 0.178
Cl 0.315 0.315 0.629
Cl 0.411 0.911 0.822
Cl 0.500 0.500 0.000
Cl 0.589 0.089 0.178
Cl 0.685 0.685 0.371
Cl 0.911 0.411 0.822

Values from the calculation:
size of the total moment = 6.0 μB per cell
energy relative to the elements, uncorrected = -1378 meV per atom

15.
Crystalline Cs2TlWCl6 at its relaxed geometry. Source: the Alexandria database, functional GGA-PBE.

a b c (Å): 7.829 7.829 7.829
angles (deg): 60.00 60.00 60.00
Positions (direct):
Cs 0.250 0.250 0.250
Cs 0.750 0.750 0.750
Tl 0.000 0.000 0.000
W 0.500 0.500 0.500
Cl 0.278 0.278 0.722
Cl 0.278 0.722 0.278
Cl 0.278 0.722 0.722
Cl 0.722 0.278 0.278
Cl 0.722 0.278 0.722
Cl 0.722 0.722 0.278

Values from the calculation:
size of the total moment = 3.0 μB per cell
energy relative to the elements, uncorrected = -1281 meV per atom

16.
Crystalline CsTlWCl6 at its relaxed geometry. Source: the Alexandria database, functional GGA-PBE.

a b c (Å): 7.597 7.597 6.894
angles (deg): 90.00 90.00 120.00
Positions (direct):
Cs 0.000 0.000 0.000
Tl 0.333 0.667 0.500
W 0.667 0.333 0.500
Cl 0.411 0.074 0.701
Cl 0.411 0.337 0.299
Cl 0.663 0.074 0.299
Cl 0.663 0.589 0.701
Cl 0.926 0.337 0.701
Cl 0.926 0.589 0.299

Values from the calculation:
size of the total moment = 2.0 μB per cell
energy relative to the elements, uncorrected = -1139 meV per atom

17.
Crystalline Cs2YTl2Cl6 at its relaxed geometry. Source: the Alexandria database, functional GGA-PBE.

a b c (Å): 8.316 8.316 8.714
angles (deg): 97.98 97.98 121.71
Positions (direct):
Cs 0.165 0.835 0.000
Cs 0.835 0.165 0.000
Y 0.500 0.500 0.000
Tl 0.254 0.746 0.500
Tl 0.746 0.254 0.500
Cl 0.178 0.178 0.818
Cl 0.295 0.559 0.187
Cl 0.441 0.705 0.813
Cl 0.559 0.295 0.187
Cl 0.705 0.441 0.813
Cl 0.822 0.822 0.182

Values from the calculation:
size of the total moment = 0.1 μB per cell
energy relative to the elements, uncorrected = -1656 meV per atom

18.
Crystalline CsYTl2Cl6 at its relaxed geometry. Source: the Alexandria database, functional GGA-PBE.

a b c (Å): 7.970 7.983 8.278
angles (deg): 90.06 118.76 119.94
Positions (direct):
Cs 0.000 0.000 0.000
Y 0.972 0.486 0.457
Tl 0.565 0.283 0.846
Tl 0.590 0.795 0.384
Cl 0.075 0.418 0.210
Cl 0.082 0.260 0.662
Cl 0.402 0.822 0.662
Cl 0.554 0.136 0.210
Cl 0.792 0.656 0.209
Cl 0.839 0.581 0.661

Values from the calculation:
size of the total moment = 0.0 μB per cell
energy relative to the elements, uncorrected = -1751 meV per atom

19.
Crystalline CsTl2ZnCl at its relaxed geometry. Source: the Alexandria database, functional GGA-PBE.

a b c (Å): 5.988 5.988 6.301
angles (deg): 90.00 90.00 90.00
Positions (direct):
Cs 0.000 0.000 0.000
Tl 0.000 0.500 0.500
Tl 0.500 0.000 0.500
Zn 0.500 0.500 0.000
Cl 0.500 0.500 0.500

Values from the calculation:
size of the total moment = 0.0 μB per cell
energy relative to the elements, uncorrected = -124 meV per atom

20.
Crystalline CsTlZnCl4 at its relaxed geometry. Source: the Alexandria database, functional GGA-PBE.

a b c (Å): 6.918 7.405 9.843
angles (deg): 90.00 110.48 90.00
Positions (direct):
Cs 0.230 0.250 0.412
Cs 0.770 0.750 0.588
Tl 0.332 0.750 0.028
Tl 0.668 0.250 0.972
Zn 0.094 0.250 0.795
Zn 0.906 0.750 0.205
Cl 0.158 0.250 0.040
Cl 0.248 0.001 0.738
Cl 0.248 0.499 0.738
Cl 0.252 0.750 0.335
Cl 0.748 0.250 0.665
Cl 0.752 0.501 0.262
Cl 0.752 0.999 0.262
Cl 0.842 0.750 0.960

Values from the calculation:
size of the total moment = 0.0 μB per cell
energy relative to the elements, uncorrected = -1408 meV per atom